{
  "formula": "MnAg2F6",
  "functional": "GGA+U",
  "state": "optimized geometry",
  "m_tot_mub_per_cell": 5.73,
  "dft_energy_ev_per_cell": -79.6,
  "vol_a3_per_cell": 262.88,
  "lattice": [[5.828, 0.000, 0.000], [0.000, 7.294, 0.000], [-3.102, 0.000, 6.184]],
  "species": ["Mn", "Mn", "Ag", "Ag", "Ag", "Ag", "F", "F", "F", "F", "F", "F", "F", "F", "F", "F", "F", "F"],
  "frac_coords": [[0.000, 0.000, 0.000], [0.000, 0.500, 0.500], [0.352, 0.000, 0.632], [0.352, 0.500, 0.132], [0.648, 0.000, 0.368], [0.648, 0.500, 0.868], [0.007, 0.001, 0.273], [0.007, 0.499, 0.773], [0.261, 0.676, 0.598], [0.261, 0.824, 0.098], [0.262, 0.175, 0.097], [0.262, 0.325, 0.597], [0.738, 0.675, 0.403], [0.738, 0.825, 0.903], [0.739, 0.176, 0.902], [0.739, 0.324, 0.402], [0.993, 0.501, 0.227], [0.993, 0.999, 0.727]]
}